Here is crystalline CaPrNdDy at its relaxed geometry from the Alexandria database. Energies are from GGA-PBE.

Results
Volume, Å³/atom: 35.75
Space group: No. 99
E, eV/cell: -15.988
Energy above the lowest structure with this stoichiometry, meV/atom: 0
Size of the total moment, μB/atom: 0.00

abc: 3.676 3.676 10.583
angles: 90.00 90.00 90.00
Fractional coordinates of all 4 atoms:
Ca  0.000  0.000  0.070
Pr  0.500  0.500  0.337
Nd  0.500  0.500  0.805
Dy  0.000  0.000  0.573

Here is crystalline CaPr6NdDy2 at its relaxed geometry from the Alexandria database. Energies are from GGA-PBE.

Results
Volume, Å³/atom: 35.98
Space group: No. 15
E, eV/cell: -86.781
Size of the total moment, μB/atom: 0.00

abc: 9.982 9.092 9.092
angles: 118.21 94.22 94.22
Fractional coordinates of all 20 atoms:
Ca  0.250  0.403  0.597
Ca  0.750  0.597  0.403
Pr  0.053  0.112  0.762
Pr  0.447  0.238  0.888
Pr  0.947  0.888  0.238
Pr  0.553  0.762  0.112
Pr  0.323  0.975  0.434
Pr  0.177  0.566  0.025
Pr  0.677  0.025  0.566
Pr  0.823  0.434  0.975
Pr  0.121  0.708  0.495
Pr  0.379  0.505  0.292
Pr  0.879  0.292  0.505
Pr  0.621  0.495  0.708
Nd  0.250  0.972  0.028
Nd  0.750  0.028  0.972
Dy  0.455  0.802  0.703
Dy  0.045  0.297  0.198
Dy  0.545  0.198  0.297
Dy  0.955  0.703  0.802

Here is crystalline CaPrNd2Dy4 at its relaxed geometry from the Alexandria database. Energies are from GGA-PBE.

Results
Volume, Å³/atom: 34.86
Space group: No. 15
E, eV/cell: -62.891
Size of the total moment, μB/atom: 0.12

abc: 9.664 9.664 12.033
angles: 128.51 128.51 88.32
Fractional coordinates of all 16 atoms:
Ca  0.500  0.500  0.500
Ca  0.000  0.000  0.000
Pr  0.000  0.500  0.000
Pr  0.000  0.500  0.500
Nd  0.500  0.000  0.000
Nd  0.500  0.000  0.500
Nd  0.000  0.000  0.500
Nd  0.500  0.500  0.000
Dy  0.252  0.749  0.001
Dy  0.751  0.248  0.499
Dy  0.249  0.752  0.501
Dy  0.748  0.251  0.999
Dy  0.747  0.747  0.009
Dy  0.753  0.753  0.491
Dy  0.247  0.247  0.509
Dy  0.253  0.253  0.991

Ordered density of states at the Fermi level results: 1.45 1.53 2.30; unit states/eV per atom.
Ordered ΔE_f results: 41 126 410; unit meV per atom.